[1]
Compound: Ac2LaErTe6
Source: Alexandria
Functional: PBE
Structure: optimized geometry

Geometry as POSCAR:
```
Ac2LaErTe6
1.0
8.180 -0.001 0.000
4.090 7.085 0.000
4.089 2.362 7.159
Ac Te Er La
2 6 1 1
Cartesian
4.089 2.361 6.727
8.179 4.723 3.108
9.221 2.557 5.474
5.783 4.905 5.474
6.688 2.029 1.836
9.534 6.708 5.474
11.259 4.777 1.837
6.593 7.362 1.836
4.090 2.361 0.253
12.269 7.085 3.882
```

Results
D(E_F), states/eV per cell: 0.0
Energy relative to the elements, uncorrected, eV/atom: -1.474
SG: No. 146

---

[2]
Compound: Re3TcO
Source: Alexandria
Functional: PBE
Structure: optimized geometry

Geometry as POSCAR:
```
Re3TcO
1.0
-1.452 -0.873 3.700
0.028 -3.963 -0.924
3.802 -0.305 1.420
Re Tc O
3 1 1
Cartesian
1.901 -0.152 0.710
-0.726 -0.436 1.850
0.014 -1.982 -0.462
1.188 -2.570 2.098
0.000 0.000 0.000
```

Results
D(E_F), states/eV per cell: 4.6
Energy relative to the lowest polymorph listed for this composition, eV/atom: 0.000
Energy relative to the elements, uncorrected, eV/atom: 0.383
SG: No. 221

---

[3]
Compound: Tb6Pr4Sc
Source: Alexandria
Functional: PBE
Structure: optimized geometry

Geometry as POSCAR:
```
Tb6Pr4Sc
1.0
5.784 0.000 0.000
-2.892 4.840 0.000
0.000 0.000 25.805
Sc Tb Pr
2 12 8
Cartesian
0.000 1.872 19.353
2.892 2.968 6.451
0.000 1.894 22.946
2.892 0.000 0.000
2.892 2.946 10.044
2.892 0.276 19.353
2.892 3.519 21.033
0.000 1.894 15.761
0.000 1.321 4.772
2.892 0.000 12.902
0.000 1.321 8.131
2.892 3.519 17.674
2.892 2.946 2.859
0.000 4.564 6.451
2.892 0.362 16.074
0.000 4.478 9.731
0.000 1.471 1.208
0.000 4.478 3.171
2.892 0.362 22.633
2.892 3.369 24.596
2.892 3.369 14.111
0.000 1.471 11.694
```

Results
Energy of formation from the pure elements, meV/atom: 131
D(E_F), states/eV per cell: 38.9
SG: No. 63

---

[4]
Compound: NdTmGaPd
Source: Alexandria
Functional: PBE
Structure: optimized geometry

Geometry as POSCAR:
```
NdTmGaPd
1.0
3.798 0.000 0.000
0.000 4.463 0.000
-1.899 0.000 5.614
Tm Ga Nd Pd
1 1 1 1
Cartesian
1.899 2.232 4.046
1.899 2.232 0.795
0.000 0.000 1.649
0.000 0.000 4.737
```

Results
Energy of formation from the pure elements, meV/atom: -700
D(E_F), states/eV per cell: 4.0
Energy relative to the lowest polymorph listed for this composition, eV/atom: 0.000
SG: No. 38

---

Question: Which formula does entry 4 have?
Answer: NdTmGaPd